A plane-wave DFT calculation with PBE-GGA was carried out for crystalline KSc4Te at its relaxed geometry.

Calculated values
Formation energy without anion corrections in meV per atom: 329

Structure (CIF):
```
data_KSc4Te
_chemical_formula_sum 'K1 Sc4 Te1'
_cell_length_a 6.2743
_cell_length_b 6.2743
_cell_length_c 6.2743
_cell_angle_alpha 60.00
_cell_angle_beta 60.00
_cell_angle_gamma 60.00
_symmetry_space_group_name_H-M 'P 1'
_symmetry_Int_Tables_number 1
loop_
_symmetry_equiv_pos_as_xyz
'x,y,z'
loop_
_atom_site_label
_atom_site_fract_x
_atom_site_fract_y
_atom_site_fract_z
K1 0.0000 0.0000 0.0000
Sc1 0.3750 0.8749 0.3750
Te1 0.7500 0.7500 0.7500
Sc2 0.3750 0.3750 0.8749
Sc3 0.3750 0.3750 0.3750
Sc4 0.8749 0.3750 0.3750
```